#A
## Nd6MgAl3 (PBE)

Data for crystalline Nd6MgAl3 at its relaxed geometry.

```
Nd6MgAl3
1.0
8.686 0.000 0.000
0.000 7.847 0.000
-8.004 0.000 8.689
Nd Mg Al
12 2 6
Direct
0.014 0.116 0.238
0.014 0.384 0.738
0.245 0.171 0.075
0.245 0.329 0.575
0.404 0.628 0.062
0.404 0.872 0.562
0.596 0.128 0.438
0.596 0.372 0.938
0.755 0.671 0.425
0.755 0.829 0.925
0.986 0.616 0.262
0.986 0.884 0.762
0.500 0.000 0.000
0.500 0.500 0.500
0.000 0.000 0.500
0.000 0.500 0.000
0.261 0.683 0.719
0.261 0.817 0.219
0.739 0.183 0.781
0.739 0.317 0.281
```

***

#B
## Nd6MgAl3 (PBE)

Data for crystalline Nd6MgAl3 at its relaxed geometry.

```
Nd6MgAl3
1.0
9.569 0.000 0.000
0.000 5.268 0.000
-3.506 0.000 11.207
Nd Mg Al
12 2 6
Direct
0.045 0.250 0.414
0.154 0.750 0.180
0.229 0.250 0.997
0.325 0.750 0.791
0.376 0.250 0.349
0.397 0.250 0.623
0.603 0.750 0.377
0.624 0.750 0.651
0.675 0.250 0.209
0.771 0.750 0.003
0.846 0.250 0.820
0.955 0.750 0.586
0.461 0.750 0.086
0.539 0.250 0.914
0.040 0.750 0.878
0.119 0.250 0.715
0.272 0.750 0.473
0.728 0.250 0.527
0.881 0.750 0.285
0.960 0.250 0.122
```

***

Stability summary - winner: #B; margin: 16.0 kJ/mol of atoms.